12
Lattice="8.501 0.000 0.000 0.000 8.501 0.000 0.000 0.000 8.501" Properties=species:S:1:pos:R:3 comment="KLiPu, relaxed, DFT PBE" total_energy_ev_per_cell=-58.2 polymorph_energy_ev_per_atom=0.000 pbc="T T T"
K 0.000 0.000 0.000
K 0.000 4.251 4.251
K 4.251 0.000 4.251
K 4.251 4.251 0.000
Li 2.125 2.125 6.376
Li 2.125 6.376 2.125
Li 6.376 2.125 2.125
Li 6.376 6.376 6.376
Pu 0.000 0.000 4.251
Pu 0.000 4.251 0.000
Pu 4.251 0.000 0.000
Pu 4.251 4.251 4.251

***

12
Lattice="2.033 -6.848 0.000 2.033 6.848 0.000 0.000 0.000 10.379" Properties=species:S:1:pos:R:3 comment="KLiPuS3, relaxed, DFT PBE" total_energy_ev_per_cell=-76.5 pbc="T T T"
K 2.033 3.579 7.784
K 2.033 -3.579 2.595
Li 2.033 6.348 2.595
Li 2.033 -6.348 7.784
Pu 2.033 0.000 0.000
Pu 2.033 0.000 5.190
S 2.033 5.167 0.532
S 2.033 5.167 4.657
S 2.033 0.764 2.595
S 2.033 -0.764 7.784
S 2.033 -5.167 5.722
S 2.033 -5.167 9.847

***

12
Lattice="2.275 -7.602 0.000 2.275 7.602 0.000 0.000 0.000 11.617" Properties=species:S:1:pos:R:3 comment="KLiPuTe3, relaxed, DFT PBE" total_energy_ev_per_cell=-65.1 pbc="T T T"
K 2.275 3.839 8.713
K 2.275 -3.839 2.904
Li 2.275 7.121 2.904
Li 2.275 -7.121 8.713
Pu 2.275 0.000 0.000
Pu 2.275 0.000 5.808
Te 2.275 5.623 0.606
Te 2.275 5.623 5.202
Te 2.275 1.023 2.904
Te 2.275 -1.023 8.713
Te 2.275 -5.623 6.415
Te 2.275 -5.623 11.010

***

5
Lattice="5.378 0.000 0.000 -2.689 4.658 0.000 0.000 0.000 8.068" Properties=species:S:1:pos:R:3 comment="K2Li2Sm, relaxed, DFT PBE" total_energy_ev_per_cell=-8.9 pbc="T T T"
K 0.000 3.105 1.188
K 2.689 1.553 6.880
Li 0.000 3.105 4.737
Li 2.689 1.553 3.331
Sm 0.000 0.000 4.034

***

12
Lattice="7.865 0.000 0.000 0.000 7.865 0.000 0.000 0.000 7.865" Properties=species:S:1:pos:R:3 comment="KLiTb, relaxed, DFT PBE" total_energy_ev_per_cell=-17.5 pbc="T T T"
K 0.000 0.000 0.000
K 0.000 3.933 3.933
K 3.933 0.000 3.933
K 3.933 3.933 0.000
Li 1.966 1.966 5.899
Li 1.966 5.899 1.966
Li 5.899 1.966 1.966
Li 5.899 5.899 5.899
Tb 1.966 1.966 1.966
Tb 1.966 5.899 5.899
Tb 5.899 1.966 5.899
Tb 5.899 5.899 1.966

***

12
Lattice="2.291 -7.642 0.000 2.291 7.642 0.000 0.000 0.000 11.903" Properties=species:S:1:pos:R:3 comment="KLiThTe3, relaxed, DFT PBE" total_energy_ev_per_cell=-54.1 pbc="T T T"
K 2.291 3.870 8.927
K 2.291 -3.870 2.976
Li 2.291 7.140 2.976
Li 2.291 -7.140 8.927
Th 2.291 0.000 0.000
Th 2.291 0.000 5.951
Te 2.291 5.599 0.688
Te 2.291 5.599 5.264
Te 2.291 1.050 2.976
Te 2.291 -1.050 8.927
Te 2.291 -5.599 6.639
Te 2.291 -5.599 11.215

***

12
Lattice="2.251 -7.659 0.000 2.251 7.659 0.000 0.000 0.000 11.669" Properties=species:S:1:pos:R:3 comment="KLiUTe3, relaxed, DFT PBE" total_energy_ev_per_cell=-58.2 pbc="T T T"
K 2.251 3.872 8.752
K 2.251 -3.872 2.917
Li 2.251 7.097 2.917
Li 2.251 -7.097 8.752
U 2.251 0.000 0.000
U 2.251 0.000 5.835
Te 2.251 5.649 0.602
Te 2.251 5.649 5.233
Te 2.251 0.989 2.917
Te 2.251 -0.989 8.752
Te 2.251 -5.649 6.436
Te 2.251 -5.649 11.068

***

12
Lattice="2.090 -7.867 0.000 2.090 7.867 0.000 0.000 0.000 10.511" Properties=species:S:1:pos:R:3 comment="KLiTe3W, relaxed, DFT PBE" total_energy_ev_per_cell=-54.6 pbc="T T T"
K 2.090 4.075 7.884
K 2.090 -4.075 2.628
Li 2.090 0.394 2.628
Li 2.090 -0.394 7.884
Te 2.090 6.683 2.628
Te 2.090 1.836 0.432
Te 2.090 1.836 4.824
Te 2.090 -1.836 5.688
Te 2.090 -1.836 10.079
Te 2.090 -6.683 7.884
W 0.000 0.000 0.000
W 0.000 0.000 5.256

***

12
Lattice="7.792 0.000 0.000 -3.896 6.748 0.000 0.000 0.000 11.107" Properties=species:S:1:pos:R:3 comment="K2Lu, relaxed, DFT PBE" total_energy_ev_per_cell=-18.5 polymorph_energy_ev_per_atom=0.000 pbc="T T T"
K 0.000 0.000 0.000
K 0.000 0.000 5.553
K 0.000 2.430 2.777
K -1.792 5.533 2.777
K 2.104 1.215 8.330
K 1.792 5.533 2.777
K 5.688 1.215 8.330
K 3.896 4.318 8.330
Lu 0.000 4.499 6.576
Lu 0.000 4.499 10.085
Lu 3.896 2.249 1.022
Lu 3.896 2.249 4.531

***

6
Lattice="0.000 5.214 5.214 5.214 0.000 5.214 5.214 5.214 0.000" Properties=species:S:1:pos:R:3 comment="K2Lu, relaxed, DFT PBE" total_energy_ev_per_cell=-9.0 polymorph_energy_ev_per_atom=0.035 pbc="T T T"
K 0.000 0.000 0.000
K 2.607 2.607 0.000
K 2.607 0.000 2.607
K 0.000 2.607 2.607
Lu 3.910 3.910 3.910
Lu 6.517 6.517 6.517

***

12
Lattice="9.350 0.000 0.000 0.000 9.350 0.000 0.000 0.000 9.350" Properties=species:S:1:pos:R:3 comment="K2Lu, relaxed, DFT PBE" total_energy_ev_per_cell=-14.9 polymorph_energy_ev_per_atom=0.297 pbc="T T T"
K 2.337 2.337 2.337
K 2.337 2.337 7.012
K 2.337 7.012 2.337
K 2.337 7.012 7.012
K 7.012 2.337 2.337
K 7.012 2.337 7.012
K 7.012 7.012 2.337
K 7.012 7.012 7.012
Lu 0.000 0.000 0.000
Lu 0.000 4.675 4.675
Lu 4.675 0.000 4.675
Lu 4.675 4.675 0.000

***

6
Lattice="0.000 8.887 8.887 8.887 0.000 8.887 8.887 8.887 0.000" Properties=species:S:1:pos:R:3 comment="K2Lu, relaxed, DFT PBE" total_energy_ev_per_cell=-4.4 polymorph_energy_ev_per_atom=0.805 pbc="T T T"
K 0.000 0.000 0.000
K 4.444 4.444 0.000
K 4.444 0.000 4.444
K 0.000 4.444 4.444
Lu 2.222 2.222 2.222
Lu 15.553 15.553 15.553

***

24
Lattice="14.482 0.000 0.000 0.000 4.026 0.000 0.000 0.000 10.727" Properties=species:S:1:pos:R:3 comment="KLuMgS3, relaxed, DFT PBE" total_energy_ev_per_cell=-118.1 polymorph_energy_ev_per_atom=0.003 pbc="T T T"
K 3.490 1.007 0.432
K 3.751 3.020 5.795
K 10.731 1.007 4.932
K 10.992 3.020 10.295
Lu 0.324 1.007 3.794
Lu 6.917 3.020 9.158
Lu 7.565 1.007 1.569
Lu 14.158 3.020 6.932
Mg 0.214 3.020 1.102
Mg 7.027 1.007 6.466
Mg 7.455 3.020 4.261
Mg 14.268 1.007 9.625
S 1.141 3.020 9.506
S 1.322 1.007 6.203
S 1.868 3.020 2.810
S 5.373 1.007 8.173
S 5.919 3.020 0.840
S 6.100 1.007 4.143
S 8.382 3.020 6.584
S 8.563 1.007 9.887
S 9.108 3.020 2.554
S 12.614 1.007 7.917
S 13.160 3.020 4.524
S 13.341 1.007 1.221

***

12
Lattice="8.560 0.000 0.000 0.000 4.039 0.000 -2.943 0.000 9.185" Properties=species:S:1:pos:R:3 comment="KLuMgS3, relaxed, DFT PBE" total_energy_ev_per_cell=-59.1 polymorph_energy_ev_per_atom=0.001 pbc="T T T"
K 1.150 1.010 2.099
K 4.467 3.029 7.086
Lu 0.285 3.029 7.976
Lu 5.332 1.010 1.209
Mg -1.057 1.010 5.616
Mg 6.673 3.029 3.569
S -1.542 1.010 7.944
S 0.150 3.029 5.021
S 3.549 3.029 1.390
S 2.068 1.010 7.795
S 5.467 1.010 4.164
S 7.159 3.029 1.241

***

12
Lattice="2.008 -7.188 0.000 2.008 7.188 0.000 0.000 0.000 10.572" Properties=species:S:1:pos:R:3 comment="KLuMgS3, relaxed, DFT PBE" total_energy_ev_per_cell=-59.1 polymorph_energy_ev_per_atom=0.000 pbc="T T T"
K 2.008 3.678 7.929
K 2.008 -3.678 2.643
Lu 2.008 0.000 0.000
Lu 2.008 0.000 5.286
Mg 2.008 6.697 2.643
Mg 2.008 -6.697 7.929
S 2.008 5.475 0.596
S 2.008 5.475 4.690
S 2.008 0.892 2.643
S 2.008 -0.892 7.929
S 2.008 -5.475 5.881
S 2.008 -5.475 9.976

***

24
Lattice="16.146 0.000 0.000 0.000 4.450 0.000 0.000 0.000 11.834" Properties=species:S:1:pos:R:3 comment="KLuMgTe3, relaxed, DFT PBE" total_energy_ev_per_cell=-94.4 polymorph_energy_ev_per_atom=0.003 pbc="T T T"
K 3.818 1.113 0.532
K 4.254 3.338 6.449
K 11.891 1.113 5.385
K 12.327 3.338 11.301
Lu 0.359 1.113 4.158
Lu 7.714 3.338 10.075
Lu 8.431 1.113 1.759
Lu 15.787 3.338 7.676
Mg 0.263 3.338 1.193
Mg 7.810 1.113 7.110
Mg 8.335 3.338 4.724
Mg 15.883 1.113 10.641
Te 1.436 3.338 10.409
Te 1.559 1.113 6.877
Te 2.222 3.338 3.112
Te 5.850 1.113 9.029
Te 6.514 3.338 0.960
Te 6.637 1.113 4.492
Te 9.508 3.338 7.342
Te 9.632 1.113 10.874
Te 10.295 3.338 2.804
Te 13.923 1.113 8.721
Te 14.587 3.338 4.957
Te 14.710 1.113 1.425

***

12
Lattice="9.526 0.000 0.000 0.000 4.453 0.000 -3.353 0.000 10.143" Properties=species:S:1:pos:R:3 comment="KLuMgTe3, relaxed, DFT PBE" total_energy_ev_per_cell=-47.2 polymorph_energy_ev_per_atom=0.002 pbc="T T T"
K 1.216 1.113 2.427
K 4.957 3.340 7.716
Lu 0.246 3.340 8.780
Lu 5.928 1.113 1.363
Mg -1.240 1.113 6.189
Mg 7.413 3.340 3.953
Te -1.882 1.113 8.851
Te 0.324 3.340 5.498
Te 3.865 3.340 1.621
Te 2.308 1.113 8.522
Te 5.849 1.113 4.645
Te 8.055 3.340 1.292

***

12
Lattice="2.223 -8.042 0.000 2.223 8.042 0.000 0.000 0.000 11.675" Properties=species:S:1:pos:R:3 comment="KLuMgTe3, relaxed, DFT PBE" total_energy_ev_per_cell=-47.2 polymorph_energy_ev_per_atom=0.000 pbc="T T T"
K 2.223 4.048 8.756
K 2.223 -4.048 2.919
Lu 0.000 0.000 0.000
Lu 0.000 0.000 5.837
Mg 2.223 0.546 2.919
Mg 2.223 -0.546 8.756
Te 2.223 6.884 2.919
Te 2.223 2.032 0.604
Te 2.223 2.032 5.234
Te 2.223 -2.032 6.441
Te 2.223 -2.032 11.071
Te 2.223 -6.884 8.756

***

12
Lattice="7.434 0.000 0.000 0.000 7.434 0.000 0.000 0.000 7.434" Properties=species:S:1:pos:R:3 comment="KLuMo, relaxed, DFT PBE" total_energy_ev_per_cell=-45.7 polymorph_energy_ev_per_atom=0.000 pbc="T T T"
K 0.000 0.000 0.000
K 0.000 3.717 3.717
K 3.717 0.000 3.717
K 3.717 3.717 0.000
Lu 0.000 0.000 3.717
Lu 0.000 3.717 0.000
Lu 3.717 0.000 0.000
Lu 3.717 3.717 3.717
Mo 1.859 1.859 1.859
Mo 1.859 5.576 5.576
Mo 5.576 1.859 5.576
Mo 5.576 5.576 1.859

***

12
Lattice="7.689 0.000 0.000 0.000 7.689 0.000 0.000 0.000 7.689" Properties=species:S:1:pos:R:3 comment="KLuNb, relaxed, DFT PBE" total_energy_ev_per_cell=-43.6 polymorph_energy_ev_per_atom=0.000 pbc="T T T"
K 0.000 0.000 0.000
K 0.000 3.845 3.845
K 3.845 0.000 3.845
K 3.845 3.845 0.000
Lu 0.000 0.000 3.845
Lu 0.000 3.845 0.000
Lu 3.845 0.000 0.000
Lu 3.845 3.845 3.845
Nb 1.922 1.922 1.922
Nb 1.922 5.767 5.767
Nb 5.767 1.922 5.767
Nb 5.767 5.767 1.922

***

12
Lattice="8.289 0.000 0.000 0.000 8.289 0.000 0.000 0.000 8.289" Properties=species:S:1:pos:R:3 comment="KNdLu, relaxed, DFT PBE" total_energy_ev_per_cell=-28.1 polymorph_energy_ev_per_atom=0.000 pbc="T T T"
K 0.000 0.000 0.000
K 0.000 4.144 4.144
K 4.144 0.000 4.144
K 4.144 4.144 0.000
Nd 0.000 0.000 4.144
Nd 0.000 4.144 0.000
Nd 4.144 0.000 0.000
Nd 4.144 4.144 4.144
Lu 2.072 2.072 2.072
Lu 2.072 6.217 6.217
Lu 6.217 2.072 6.217
Lu 6.217 6.217 2.072

***

12
Lattice="6.881 0.000 0.000 0.000 6.881 0.000 0.000 0.000 6.881" Properties=species:S:1:pos:R:3 comment="KLuNi, relaxed, DFT PBE" total_energy_ev_per_cell=-38.2 polymorph_energy_ev_per_atom=0.000 pbc="T T T"
K 0.000 0.000 0.000
K 0.000 3.441 3.441
K 3.441 0.000 3.441
K 3.441 3.441 0.000
Lu 0.000 0.000 3.441
Lu 0.000 3.441 0.000
Lu 3.441 0.000 0.000
Lu 3.441 3.441 3.441
Ni 1.720 1.720 1.720
Ni 1.720 5.161 5.161
Ni 5.161 1.720 5.161
Ni 5.161 5.161 1.720

***

12
Lattice="8.599 0.000 0.000 0.000 3.860 0.000 -2.870 0.000 8.758" Properties=species:S:1:pos:R:3 comment="KLuNiS3, relaxed, DFT PBE" total_energy_ev_per_cell=-62.9 pbc="T T T"
K 1.064 0.965 2.025
K 4.665 2.895 6.733
Lu 0.382 2.895 7.518
Lu 5.347 0.965 1.239
Ni -1.034 0.965 5.209
Ni 6.763 2.895 3.549
S -1.455 0.965 7.449
S 0.033 2.895 4.755
S 3.494 2.895 1.389
S 2.235 0.965 7.369
S 5.696 0.965 4.002
S 7.184 2.895 1.308